# LaPSe3 | Alexandria via LeMat-Bulk | PBE | relaxed
data_LaPSe3
_chemical_formula_sum 'La4 P4 Se12'
_space_group_name_H-M_alt 'P 1'
_space_group_IT_number 1
_space_group_name_Hall 'P 1'
_cell_length_a 6.1061
_cell_length_b 9.0082
_cell_length_c 9.6103
_cell_angle_alpha 90.00
_cell_angle_beta 91.22
_cell_angle_gamma 90.00
loop_
_atom_site_label
_atom_site_type_symbol
_atom_site_fract_x
_atom_site_fract_y
_atom_site_fract_z
_atom_site_occupancy
Se1 Se 0.8668 0.3482 0.4295 1
Se2 Se 0.6449 0.8312 0.4486 1
Se3 Se 0.3668 0.1518 0.9295 1
P1 P 0.4700 0.6100 0.0539 1
La1 La 0.4288 0.8688 0.7516 1
La2 La 0.0712 0.3688 0.7484 1
Se4 Se 0.4094 0.5114 0.2672 1
La3 La 0.9288 0.6312 0.2516 1
Se5 Se 0.8551 0.3312 0.0514 1
Se6 Se 0.5906 0.4886 0.7328 1
Se7 Se 0.9094 0.9886 0.7672 1
P2 P 0.5300 0.3900 0.9461 1
P3 P 0.0300 0.1100 0.4461 1
Se8 Se 0.6332 0.8482 0.0705 1
La4 La 0.5712 0.1312 0.2484 1
P4 P 0.9700 0.8900 0.5539 1
Se9 Se 0.3551 0.1688 0.5514 1
Se10 Se 0.1449 0.6688 0.9486 1
Se11 Se 0.1332 0.6518 0.5705 1
Se12 Se 0.0906 0.0114 0.2328 1
# E above lowest polymorph, meV/atom: 0



# La8P4Se3 | Alexandria via LeMat-Bulk | PBE | relaxed
data_La8P4Se3
_chemical_formula_sum 'La8 P4 Se3'
_space_group_name_H-M_alt 'P 1'
_space_group_IT_number 1
_space_group_name_Hall 'P 1'
_cell_length_a 8.5366
_cell_length_b 8.5476
_cell_length_c 8.5476
_cell_angle_alpha 90.14
_cell_angle_beta 119.83
_cell_angle_gamma 119.83
loop_
_atom_site_label
_atom_site_type_symbol
_atom_site_fract_x
_atom_site_fract_y
_atom_site_fract_z
_atom_site_occupancy
La1 La 0.9902 0.2412 0.2412 1
La2 La 0.5000 0.7555 0.2445 1
Se1 Se 0.5000 0.0000 0.5000 1
P1 P 0.0000 0.5000 0.0000 1
La3 La 0.0098 0.7588 0.7588 1
La4 La 0.0000 0.7567 0.2433 1
Se2 Se 0.5000 0.5000 0.5000 1
La5 La 0.5000 0.2445 0.7555 1
Se3 Se 0.5000 0.5000 0.0000 1
La6 La 0.0000 0.2433 0.7567 1
P2 P 0.5000 0.0000 0.0000 1
P3 P 0.0000 0.0000 0.0000 1
La7 La 0.5170 0.7643 0.7643 1
La8 La 0.4830 0.2357 0.2357 1
P4 P 0.0000 0.0000 0.5000 1
# Calculated total energy, eV per atom: -6.438



# La3P2Se | Alexandria via LeMat-Bulk | PBE | relaxed
data_La3P2Se
_chemical_formula_sum 'La6 P4 Se2'
_space_group_name_H-M_alt 'P 1'
_space_group_IT_number 1
_space_group_name_Hall 'P 1'
_cell_length_a 7.5025
_cell_length_b 7.5284
_cell_length_c 7.5410
_cell_angle_alpha 90.00
_cell_angle_beta 90.00
_cell_angle_gamma 119.89
loop_
_atom_site_label
_atom_site_type_symbol
_atom_site_fract_x
_atom_site_fract_y
_atom_site_fract_z
_atom_site_occupancy
Se1 Se 0.4973 0.0000 0.7500 1
La1 La 0.1192 0.6187 0.7500 1
P1 P 0.1661 0.3323 0.5000 1
La2 La 0.4995 0.6187 0.2500 1
P2 P 0.8339 0.6677 0.0000 1
Se2 Se 0.5027 0.0000 0.2500 1
La3 La 0.8793 0.0000 0.7500 1
P3 P 0.8339 0.6677 0.5000 1
P4 P 0.1661 0.3323 0.0000 1
La4 La 0.5005 0.3813 0.7500 1
La5 La 0.8808 0.3813 0.2500 1
La6 La 0.1207 0.0000 0.2500 1
# E above lowest polymorph, meV/atom: 316



# La6P5Se | Alexandria via LeMat-Bulk | PBE | relaxed
data_La6P5Se
_chemical_formula_sum 'La6 P5 Se1'
_space_group_name_H-M_alt 'P 1'
_space_group_IT_number 1
_space_group_name_Hall 'P 1'
_cell_length_a 7.4177
_cell_length_b 7.4165
_cell_length_c 7.4149
_cell_angle_alpha 59.99
_cell_angle_beta 80.41
_cell_angle_gamma 70.53
loop_
_atom_site_label
_atom_site_type_symbol
_atom_site_fract_x
_atom_site_fract_y
_atom_site_fract_z
_atom_site_occupancy
La1 La 0.7452 0.7439 0.0000 1
Se1 Se 0.0000 0.0000 0.0000 1
P1 P 0.5000 0.8350 0.3300 1
La2 La 0.2548 0.2561 0.0000 1
La3 La 0.2542 0.9152 0.6589 1
P2 P 0.0000 0.6670 0.6660 1
P3 P 0.5000 0.1650 0.6700 1
La4 La 0.2542 0.5741 0.3411 1
P4 P 0.0000 0.3330 0.3340 1
La5 La 0.7458 0.0848 0.3411 1
La6 La 0.7458 0.4259 0.6589 1
P5 P 0.5000 0.5000 0.0000 1
# Calculated total energy, eV per atom: -6.704



# LaPSe | Alexandria via LeMat-Bulk | PBE | relaxed
data_LaPSe
_chemical_formula_sum 'La1 P1 Se1'
_space_group_name_H-M_alt 'P 1'
_space_group_IT_number 1
_space_group_name_Hall 'P 1'
_cell_length_a 4.5411
_cell_length_b 4.5411
_cell_length_c 3.8791
_cell_angle_alpha 90.00
_cell_angle_beta 90.00
_cell_angle_gamma 120.00
loop_
_atom_site_label
_atom_site_type_symbol
_atom_site_fract_x
_atom_site_fract_y
_atom_site_fract_z
_atom_site_occupancy
La1 La 0.0000 0.0000 0.0000 1
P1 P 0.6667 0.3333 0.5000 1
Se1 Se 0.3333 0.6667 0.5000 1
# Calculated total energy, eV per atom: -5.532



# LaPSe | Alexandria via LeMat-Bulk | PBE | relaxed
data_LaPSe
_chemical_formula_sum 'La2 P2 Se2'
_space_group_name_H-M_alt 'P 1'
_space_group_IT_number 1
_space_group_name_Hall 'P 1'
_cell_length_a 5.2404
_cell_length_b 5.2404
_cell_length_c 5.9444
_cell_angle_alpha 90.00
_cell_angle_beta 90.00
_cell_angle_gamma 120.00
loop_
_atom_site_label
_atom_site_type_symbol
_atom_site_fract_x
_atom_site_fract_y
_atom_site_fract_z
_atom_site_occupancy
La1 La 0.6667 0.3333 0.7500 1
Se1 Se 0.0000 0.0000 0.0000 1
P1 P 0.3333 0.6667 0.7500 1
P2 P 0.6667 0.3333 0.2500 1
La2 La 0.3333 0.6667 0.2500 1
Se2 Se 0.0000 0.0000 0.5000 1
# Calculated total energy, eV per atom: -5.525